Entry a
A relaxed Pm3DyRh crystal. Source: Alexandria via LeMat-Bulk, functional PBE-GGA.

Its space-group type is Pm-3m, No. 221. The spin magnetization comes out at 0.11 μB per atom.

a b c (Å): 5.536 5.536 5.536
angles (deg): 90.00 90.00 90.00
Each line ends with the local moment (μB).
Element x y z (fractional)
Rh1 0.000 0.000 0.000  0.01
Pm1 0.500 0.000 0.000  0.04
Dy1 0.500 0.500 0.500  0.16
Pm2 0.000 0.500 0.000  0.04
Pm3 0.000 0.000 0.500  0.04



Entry b
A relaxed Pm3DyRh crystal. Source: Alexandria via LeMat-Bulk, functional PBE-GGA.

Its space-group type is Ima2, No. 46. The spin magnetization comes out at 0.00 μB per atom.

a b c (Å): 7.473 7.473 7.473
angles (deg): 101.27 120.90 106.92
Element x y z (fractional)
Dy1 0.558 0.284 0.774
Pm1 0.033 0.241 0.711
Dy2 0.510 0.784 0.226
Pm2 0.033 0.823 0.293
Pm3 0.018 0.279 0.238
Rh1 0.037 0.532 0.005
Pm4 0.530 0.741 0.707
Pm5 0.530 0.323 0.289
Rh2 0.526 0.032 0.995
Pm6 0.041 0.779 0.762



Sorted by energy, starting with the most stable: entry b, entry a.



Entry a
A relaxed PmDy2Rh crystal. Source: Alexandria via LeMat-Bulk, functional PBE-GGA.

Its space-group type is Pnma, No. 62. The spin magnetization comes out at 0.00 μB per atom.

a b c (Å): 6.400 7.202 9.528
angles (deg): 90.00 90.00 90.00
Element x y z (fractional)
Dy1 0.670 0.824 0.935
Dy2 0.330 0.176 0.065
Dy3 0.170 0.676 0.065
Pm1 0.637 0.534 0.250
Dy4 0.830 0.324 0.565
Rh1 0.432 0.882 0.250
Rh2 0.932 0.618 0.750
Dy5 0.830 0.324 0.935
Pm2 0.137 0.966 0.750
Rh3 0.068 0.382 0.250
Pm3 0.363 0.466 0.750
Pm4 0.863 0.034 0.250
Rh4 0.568 0.118 0.750
Dy6 0.170 0.676 0.435
Dy7 0.670 0.824 0.565
Dy8 0.330 0.176 0.435



Entry b
A relaxed PmDy2Rh crystal. Source: Alexandria via LeMat-Bulk, functional PBE-GGA.

Its space-group type is Cmcm, No. 63. The spin magnetization comes out at 0.00 μB per atom.

a b c (Å): 3.803 6.352 9.492
angles (deg): 90.00 90.00 107.42
Element x y z (fractional)
Dy1 0.860 0.720 0.568
Dy2 0.140 0.280 0.068
Pm1 0.575 0.150 0.750
Rh1 0.259 0.518 0.750
Rh2 0.741 0.482 0.250
Dy3 0.860 0.720 0.932
Dy4 0.140 0.280 0.432
Pm2 0.425 0.850 0.250



Sorted by energy, starting with the most stable: entry a, entry b.



Entry a
A relaxed PmDy2Rh crystal. Source: Alexandria via LeMat-Bulk, functional PBE-GGA.

Its space-group type is R-3m, No. 166. The spin magnetization comes out at 0.00 μB per atom.

a b c (Å): 4.660 4.660 6.451
angles (deg): 68.83 68.83 60.00
Element x y z (fractional)
Rh1 0.500 0.500 0.500
Dy1 0.780 0.780 0.660
Dy2 0.220 0.220 0.340
Pm1 0.000 0.000 0.000



Entry b
A relaxed PmDy2Rh crystal. Source: Alexandria via LeMat-Bulk, functional PBE-GGA.

Its space-group type is P4/mmm, No. 123. The spin magnetization comes out at 0.00 μB per atom.

a b c (Å): 3.504 3.504 8.707
angles (deg): 90.00 90.00 90.00
Element x y z (fractional)
Dy1 0.000 0.000 0.813
Pm1 0.500 0.500 0.500
Rh1 0.500 0.500 0.000
Dy2 0.000 0.000 0.187



Entry c
A relaxed PmDy2Rh crystal. Source: Alexandria via LeMat-Bulk, functional PBE-GGA.

Its space-group type is R3m, No. 160. The spin magnetization comes out at 0.00 μB per atom.

a b c (Å): 3.872 3.872 9.387
angles (deg): 78.10 78.10 60.00
Element x y z (fractional)
Dy1 0.275 0.275 0.176
Pm1 0.501 0.501 0.496
Rh1 0.666 0.666 0.002
Dy2 0.058 0.058 0.827



Sorted by energy, starting with the most stable: entry b, entry c, entry a.



Entry a
A relaxed Pm2DyRh crystal. Source: Alexandria via LeMat-Bulk, functional PBE-GGA.

Its space-group type is P4/mmm, No. 123. The spin magnetization comes out at 0.00 μB per atom.

a b c (Å): 3.590 3.590 8.685
angles (deg): 90.00 90.00 90.00
Element x y z (fractional)
Pm1 0.000 0.000 0.808
Pm2 0.000 0.000 0.192
Dy1 0.500 0.500 0.500
Rh1 0.500 0.500 0.000



Entry b
A relaxed Pm2DyRh crystal. Source: Alexandria via LeMat-Bulk, functional PBE-GGA.

Its space-group type is Pnna, No. 52. The spin magnetization comes out at 0.00 μB per atom.

a b c (Å): 6.411 6.703 11.474
angles (deg): 89.99 90.00 90.00
Element x y z (fractional)
Pm1 0.756 0.410 0.087
Pm2 0.256 0.590 0.587
Pm3 0.244 0.590 0.913
Pm4 0.256 0.090 0.413
Rh1 0.000 0.250 0.589
Rh2 0.500 0.250 0.911
Rh3 0.500 0.750 0.089
Pm5 0.744 0.910 0.587
Dy1 0.250 0.570 0.250
Pm6 0.744 0.410 0.413
Pm7 0.244 0.090 0.087
Dy2 0.250 0.070 0.750
Rh4 0.000 0.750 0.411
Dy3 0.750 0.430 0.750
Pm8 0.756 0.910 0.913
Dy4 0.750 0.930 0.250



Entry c
A relaxed Pm2DyRh crystal. Source: Alexandria via LeMat-Bulk, functional PBE-GGA.

Its space-group type is Pnma, No. 62. The spin magnetization comes out at 0.00 μB per atom.

a b c (Å): 6.338 7.254 9.863
angles (deg): 90.00 90.00 90.00
Element x y z (fractional)
Dy1 0.352 0.463 0.750
Rh1 0.444 0.878 0.250
Dy2 0.648 0.537 0.250
Pm1 0.330 0.178 0.435
Pm2 0.170 0.678 0.065
Pm3 0.670 0.822 0.935
Pm4 0.830 0.322 0.935
Pm5 0.830 0.322 0.565
Pm6 0.170 0.678 0.435
Rh2 0.556 0.122 0.750
Rh3 0.944 0.622 0.750
Dy3 0.148 0.963 0.750
Pm7 0.670 0.822 0.565
Rh4 0.056 0.378 0.250
Dy4 0.852 0.037 0.250
Pm8 0.330 0.178 0.065



Entry d
A relaxed Pm2DyRh crystal. Source: Alexandria via LeMat-Bulk, functional PBE-GGA.

Its space-group type is R3m, No. 160. The spin magnetization comes out at 0.14 μB per atom.

a b c (Å): 3.885 3.885 9.569
angles (deg): 78.29 78.29 60.00
Each line ends with the local moment (μB).
Element x y z (fractional)
Pm1 0.272 0.272 0.183  0.04
Dy1 0.501 0.501 0.498  0.23
Pm2 0.061 0.061 0.818  0.04
Rh1 0.666 0.666 0.001  0.02



Sorted by energy, starting with the most stable: entry c, entry b, entry a, entry d.



Entry a
A relaxed PmDyRh2 crystal. Source: Alexandria via LeMat-Bulk, functional PBE-GGA.

Its space-group type is P4/mmm, No. 123. The spin magnetization comes out at 0.00 μB per atom.

a b c (Å): 3.538 4.866 4.866
angles (deg): 90.00 90.00 90.00
Element x y z (fractional)
Rh1 0.000 0.500 0.000
Dy1 0.500 0.500 0.500
Rh2 0.000 0.000 0.500
Pm1 0.500 0.000 0.000



Entry b
A relaxed PmDyRh2 crystal. Source: Alexandria via LeMat-Bulk, functional PBE-GGA.

Its space-group type is Fm-3m, No. 225. The spin magnetization comes out at 0.00 μB per atom.

a b c (Å): 4.910 4.910 4.910
angles (deg): 60.00 60.00 60.00
Element x y z (fractional)
Pm1 0.500 0.500 0.500
Dy1 0.000 0.000 0.000
Rh1 0.750 0.750 0.750
Rh2 0.250 0.250 0.250



Sorted by energy, starting with the most stable: entry b, entry a.



Entry a
A relaxed PmDyRuRh crystal. Source: Alexandria via LeMat-Bulk, functional PBE-GGA.

Its space-group type is P4mm, No. 99. The spin magnetization comes out at 0.00 μB per atom.

a b c (Å): 3.457 3.457 6.900
angles (deg): 90.00 90.00 90.00
Element x y z (fractional)
Pm1 0.500 0.500 0.111
Dy1 0.500 0.500 0.604
Ru1 0.000 0.000 0.364
Rh1 0.000 0.000 0.849



Entry b
A relaxed PmDyRuRh crystal. Source: Alexandria via LeMat-Bulk, functional PBE-GGA.

Its space-group type is F-43m, No. 216. The spin magnetization comes out at 0.00 μB per atom.

a b c (Å): 4.891 4.891 4.891
angles (deg): 60.00 60.00 60.00
Element x y z (fractional)
Ru1 0.750 0.750 0.750
Dy1 0.000 0.000 0.000
Rh1 0.250 0.250 0.250
Pm1 0.500 0.500 0.500



Sorted by energy, starting with the most stable: entry a, entry b.



Entry a
A relaxed PmDySiRh crystal. Source: Alexandria via LeMat-Bulk, functional PBE-GGA.

Its space-group type is F-43m, No. 216. The spin magnetization comes out at 0.00 μB per atom.

a b c (Å): 4.989 4.989 4.989
angles (deg): 60.00 60.00 60.00
Element x y z (fractional)
Pm1 0.000 0.000 0.000
Dy1 0.500 0.500 0.500
Si1 0.750 0.750 0.750
Rh1 0.250 0.250 0.250



Entry b
A relaxed PmDySiRh crystal. Source: Alexandria via LeMat-Bulk, functional PBE-GGA.

Its space-group type is Amm2, No. 38. The spin magnetization comes out at 0.00 μB per atom.

a b c (Å): 4.214 4.077 5.686
angles (deg): 90.00 111.75 90.00
Element x y z (fractional)
Pm1 0.145 0.000 0.290
Rh1 0.425 0.000 0.851
Si1 0.566 0.500 0.132
Dy1 0.863 0.500 0.726



Sorted by energy, starting with the most stable: entry b, entry a.



Entry a
A relaxed PmDyRu crystal. Source: Alexandria via LeMat-Bulk, functional PBE-GGA.

Its space-group type is Cmcm, No. 63. The spin magnetization comes out at 0.00 μB per atom.

a b c (Å): 3.537 5.303 8.203
angles (deg): 90.00 102.45 90.00
Element x y z (fractional)
Pm1 0.929 0.250 0.857
Ru1 0.576 0.250 0.153
Dy1 0.210 0.250 0.421
Pm2 0.071 0.750 0.143
Ru2 0.424 0.750 0.847
Dy2 0.790 0.750 0.579



Entry b
A relaxed PmDyRu crystal. Source: Alexandria via LeMat-Bulk, functional PBE-GGA.

Its space-group type is F-43m, No. 216. The spin magnetization comes out at 0.00 μB per atom.

a b c (Å): 4.834 4.834 4.834
angles (deg): 60.00 60.00 60.00
Element x y z (fractional)
Ru1 0.250 0.250 0.250
Dy1 0.500 0.500 0.500
Pm1 0.000 0.000 0.000



Entry c
A relaxed PmDyRu crystal. Source: Alexandria via LeMat-Bulk, functional PBE-GGA.

Its space-group type is P3m1, No. 156. The spin magnetization comes out at 0.00 μB per atom.

a b c (Å): 3.681 4.744 4.744
angles (deg): 120.00 90.00 90.00
Element x y z (fractional)
Dy1 0.736 0.667 0.333
Pm1 0.285 0.333 0.667
Ru1 0.980 0.000 0.000



Entry d
A relaxed PmDyRu crystal. Source: Alexandria via LeMat-Bulk, functional PBE-GGA.

Its space-group type is P-1, No. 2. The spin magnetization comes out at 0.00 μB per atom.

a b c (Å): 3.442 6.860 7.093
angles (deg): 104.16 104.09 90.01
Element x y z (fractional)
Dy1 0.315 0.991 0.397
Pm1 0.567 0.618 0.900
Ru1 0.938 0.807 0.643
Dy2 0.563 0.113 0.892
Ru2 0.940 0.297 0.646
Pm2 0.311 0.486 0.388



Sorted by energy, starting with the most stable: entry d, entry b, entry a, entry c.